Record 1
Below is a relaxed SmDySn2 crystal, with properties calculated at the PBE-GGA level.

Geometry as POSCAR:
```
SmDySn2
1.0
2.008 1.160 8.613
-2.008 1.160 8.613
0.000 -2.319 8.613
Sm Dy Sn
1 1 2
Direct
0.000 0.000 0.000
0.500 0.500 0.500
0.249 0.249 0.249
0.751 0.751 0.751
```

Total moment, μB per cell: 0.000
VASP energy, eV per cell: -19.460
Energy of formation, eV per atom: -0.533
Symmetry: R-3m
Volume, A^3/atom: 30.1


Record 2
Below is a relaxed Sm2DySn2 crystal, with properties calculated at the PBE-GGA level.

Geometry as POSCAR:
```
Sm2DySn2
1.0
8.129 0.000 0.000
0.000 8.129 0.000
0.000 0.000 4.481
Sm Dy Sn
4 2 4
Direct
0.171 0.329 0.000
0.329 0.829 0.000
0.671 0.171 0.000
0.829 0.671 0.000
0.000 0.000 0.500
0.500 0.500 0.500
0.131 0.631 0.500
0.369 0.131 0.500
0.631 0.869 0.500
0.869 0.369 0.500
```

E above lowest polymorph, eV per atom: 0.0000
Total moment, μB per cell: 0.000
VASP energy, eV per cell: -51.124
Energy of formation, eV per atom: -0.703
Symmetry: P4/mbm
Volume, A^3/atom: 29.6


Record 3
Below is a relaxed Sm5DySn5 crystal, with properties calculated at the PBE-GGA level.

Geometry as POSCAR:
```
Sm5DySn5
1.0
7.909 -3.137 0.000
7.909 3.137 0.000
-1.789 0.000 7.201
Sm Dy Sn
5 1 5
Direct
0.000 0.000 0.000
0.332 0.332 0.173
0.336 0.336 0.673
0.664 0.664 0.327
0.668 0.668 0.827
0.000 0.000 0.500
0.165 0.165 0.835
0.166 0.166 0.341
0.500 0.500 0.500
0.834 0.834 0.659
0.835 0.835 0.165
```

Total moment, μB per cell: 0.487
VASP energy, eV per cell: -53.427
Energy of formation, eV per atom: -0.474
Symmetry: C2/m
Volume, A^3/atom: 32.5


Record 4
Below is a relaxed Sm3DySn3 crystal, with properties calculated at the PBE-GGA level.

Geometry as POSCAR:
```
Sm3DySn3
1.0
9.521 0.000 0.000
-4.761 8.246 0.000
0.000 0.000 6.208
Sm Dy Sn
6 2 6
Direct
0.023 0.695 0.250
0.305 0.328 0.250
0.328 0.023 0.750
0.672 0.977 0.250
0.695 0.672 0.750
0.977 0.305 0.750
0.333 0.667 0.750
0.667 0.333 0.250
0.005 0.656 0.750
0.344 0.349 0.750
0.349 0.005 0.250
0.651 0.995 0.750
0.656 0.651 0.250
0.995 0.344 0.250
```

Total moment, μB per cell: 0.000
VASP energy, eV per cell: -67.552
Energy of formation, eV per atom: -0.430
Symmetry: P6_3/m
Volume, A^3/atom: 34.8


Record 5
Below is a relaxed SmDySn crystal, with properties calculated at the PBE-GGA level.

Geometry as POSCAR:
```
SmDySn
1.0
-2.304 2.304 8.476
2.304 -2.304 8.476
2.304 2.304 -8.476
Sm Dy Sn
2 2 2
Direct
0.177 0.177 0.000
0.823 0.823 0.000
0.000 0.500 0.500
0.500 0.000 0.500
0.365 0.365 0.000
0.635 0.635 0.000
```

E above lowest polymorph, eV per atom: 0.0000
Total moment, μB per cell: 0.005
VASP energy, eV per cell: -30.280
Energy of formation, eV per atom: -0.605
Symmetry: I4/mmm
Volume, A^3/atom: 30.0


Record 6
Below is a relaxed SmDy4Sn4 crystal, with properties calculated at the PBE-GGA level.

Geometry as POSCAR:
```
SmDy4Sn4
1.0
9.828 0.000 0.000
0.000 9.828 0.000
0.000 0.000 6.140
Sm Dy Sn
2 8 8
Direct
0.250 0.250 0.250
0.750 0.750 0.750
0.092 0.650 0.140
0.150 0.908 0.640
0.350 0.592 0.640
0.408 0.850 0.140
0.592 0.150 0.860
0.650 0.408 0.360
0.850 0.092 0.360
0.908 0.350 0.860
0.033 0.616 0.649
0.116 0.967 0.149
0.384 0.533 0.149
0.467 0.884 0.649
0.533 0.116 0.351
0.616 0.467 0.851
0.884 0.033 0.851
0.967 0.384 0.351
```

Total moment, μB per cell: 0.000
VASP energy, eV per cell: -85.949
Energy of formation, eV per atom: -0.426
Symmetry: P4_2/n
Volume, A^3/atom: 32.9


Record 7
Below is a relaxed SmDySnTe crystal, with properties calculated at the PBE-GGA level.

Geometry as POSCAR:
```
SmDySnTe
1.0
2.213 1.278 7.280
-2.213 1.278 7.280
0.000 -2.555 7.280
Sm Dy Sn Te
1 1 1 1
Direct
0.000 0.000 0.000
0.492 0.492 0.492
0.748 0.748 0.748
0.244 0.244 0.244
```

Total moment, μB per cell: 0.000
VASP energy, eV per cell: -20.743
Symmetry: R3m
Volume, A^3/atom: 30.9
Formation energy (no corrections), eV/f.u.: -4.277


Record 8
Below is a relaxed SmDyZnSn crystal, with properties calculated at the PBE-GGA level.

Geometry as POSCAR:
```
SmDyZnSn
1.0
0.000 3.701 3.701
3.701 0.000 3.701
3.701 3.701 0.000
Sm Dy Zn Sn
1 1 1 1
Direct
0.000 0.000 0.000
0.500 0.500 0.500
0.250 0.250 0.250
0.750 0.750 0.750
```

Total moment, μB per cell: 0.000
VASP energy, eV per cell: -16.627
Energy of formation, eV per atom: -0.507
Symmetry: F-43m
Volume, A^3/atom: 25.4


Record 9
Below is a relaxed SrSmDy2 crystal, with properties calculated at the PBE-GGA level.

Geometry as POSCAR:
```
SrSmDy2
1.0
3.702 0.000 0.000
0.000 3.702 0.000
0.000 0.000 10.606
Sr Sm Dy
1 1 2
Direct
0.000 0.000 0.000
0.000 0.000 0.500
0.500 0.500 0.277
0.500 0.500 0.723
```

E above lowest polymorph, eV per atom: 0.0016
Total moment, μB per cell: 0.002
VASP energy, eV per cell: -15.108
Energy of formation, eV per atom: 0.124
Symmetry: P4/mmm
Volume, A^3/atom: 36.3


Record 10
Below is a relaxed SrSm2Dy crystal, with properties calculated at the PBE-GGA level.

Geometry as POSCAR:
```
SrSm2Dy
1.0
1.822 1.052 12.968
-1.822 1.052 12.968
0.000 -2.104 12.968
Sr Sm Dy
1 2 1
Direct
0.000 0.000 0.000
0.093 0.093 0.093
0.907 0.907 0.907
0.500 0.500 0.500
```

E above lowest polymorph, eV per atom: 0.0958
Total moment, μB per cell: 0.000
VASP energy, eV per cell: -14.934
Energy of formation, eV per atom: 0.197
Symmetry: R-3m
Volume, A^3/atom: 37.3


Record 11
Below is a relaxed SrSmDy4 crystal, with properties calculated at the PBE-GGA level.

Geometry as POSCAR:
```
SrSmDy4
1.0
0.000 4.778 4.778
4.778 0.000 4.778
4.778 4.778 0.000
Sr Sm Dy
1 1 4
Direct
0.000 0.000 0.000
0.250 0.250 0.250
0.133 0.622 0.622
0.622 0.133 0.622
0.622 0.622 0.133
0.622 0.622 0.622
```

Total moment, μB per cell: 0.000
VASP energy, eV per cell: -23.261
Energy of formation, eV per atom: 0.258
Symmetry: F-43m
Volume, A^3/atom: 36.4


Record 12
Below is a relaxed SrSmDy2 crystal, with properties calculated at the PBE-GGA level.

Geometry as POSCAR:
```
SrSmDy2
1.0
1.843 1.064 12.173
-1.843 1.064 12.173
0.000 -2.128 12.173
Sr Sm Dy
1 1 2
Direct
0.000 0.000 0.000
0.166 0.166 0.166
0.577 0.577 0.577
0.755 0.755 0.755
```

E above lowest polymorph, eV per atom: 0.0000
Total moment, μB per cell: 0.000
VASP energy, eV per cell: -15.114
Energy of formation, eV per atom: 0.123
Symmetry: R3m
Volume, A^3/atom: 35.8


Among the records above, which one has the lowest VASP energy?
SmDy4Sn4